# BaCuTeSe3

An optimized crystal structure of BaCuTeSe3 (PBE, Alexandria).

Cell: 8.724 4.786 9.151 Å, 90.00 95.46 90.00°
Positions (direct):
Ba (0.155, 0.250, 0.258)
Ba (0.845, 0.750, 0.742)
Cu (0.092, 0.250, 0.614)
Cu (0.908, 0.750, 0.386)
Te (0.297, 0.750, 0.882)
Te (0.703, 0.250, 0.118)
Se (0.145, 0.250, 0.877)
Se (0.165, 0.750, 0.526)
Se (0.386, 0.750, 0.155)
Se (0.614, 0.250, 0.845)
Se (0.835, 0.250, 0.474)
Se (0.855, 0.750, 0.123)

Formation energy (no corrections) (meV/atom): -639
Space group: No. 11
Calculated total energy (eV/atom): -3.9078